1.
Entry from Alexandria via LeMat-Bulk: a relaxed PuZrPa2 crystal (PBE-GGA).

Unit cell a=3.2240 b=3.9182 c=9.4965 alpha=90.00 beta=90.00 gamma=52.31
With the nearest neighbours (Å) after each atom.
Sites, in units of the cell vectors:
Pa  0.9480  0.9674  0.5717  3 Pu 2.95-3.10, 3 Zr 3.17-3.24, 4 Pa 3.21-3.22
Pa  0.9479  0.9674  0.0547  3 Pu 2.95-3.10, 3 Zr 3.17-3.24, 4 Pa 3.21-3.22
Pu  0.2212  0.3293  0.8132  6 Pa 2.95-3.10, 4 Pu 3.21-3.22
Zr  0.7774  0.5522  0.3132  6 Pa 3.17-3.24, 4 Zr 3.21-3.22


2.
Entry from Alexandria via LeMat-Bulk: a relaxed CrNiW crystal (PBE-GGA).

Unit cell a=6.3083 b=6.1897 c=2.5910 alpha=80.61 beta=75.48 gamma=23.91
With the nearest neighbours (Å) after each atom.
Sites, in units of the cell vectors:
Cr  0.0083  0.0083  0.9917  4 Ni 2.44-2.72, 4 Cr 2.59, 2 W 2.66
W  0.3311  0.3311  0.6689  4 W 2.59, 4 Ni 2.60-2.87, 2 Cr 2.66
Ni  0.6606  0.6606  0.3394  4 Cr 2.44-2.72, 4 Ni 2.59, 2 W 2.60


| no. | VASP energy (eV per atom) |
| --- | --- |
| 1 | -10.377 |
| 2 | -9.322 |